1.
Entry from the Alexandria database: a geometry-optimized AcSmGdZn structure (PBE).

Unit cell a=5.5882 b=5.5882 c=5.5882 alpha=60.00 beta=60.00 gamma=60.00
Last column: nearest neighbours and their distance in Å.
Sites, in units of the cell vectors:
Ac (0.0000, 0.0000, 0.0000)  4 Gd 3.42, 4 Sm 3.42
Sm (0.7500, 0.7500, 0.7500)  4 Ac 3.42, 4 Zn 3.42
Gd (0.2500, 0.2500, 0.2500)  4 Ac 3.42, 4 Zn 3.42
Zn (0.5000, 0.5000, 0.5000)  4 Gd 3.42, 4 Sm 3.42

Values from the calculation:
- calculated volume (Å³/cell) = 123
- space group = F-43m, No. 216
- DOS at the Fermi energy (states/eV/atom) = 1.33
- ρ (g/cm3) = 8.1
- formation energy (eV per atom) = 0.15



2.
Entry from the Alexandria database: a geometry-optimized Pu2Tc2P2C structure (PBE).

Unit cell a=5.8875 b=5.8875 c=6.5826 alpha=120.87 beta=120.87 gamma=38.80
Last column: nearest neighbours and their distance in Å.
Sites, in units of the cell vectors:
Pu (0.0574, 0.0574, 0.3083)  2 C 2.63, 2 P 2.94
Pu (0.9426, 0.9426, 0.6917)  2 C 2.63, 2 P 2.94
Tc (0.3039, 0.3039, 0.9152)  1 C 1.93
Tc (0.6961, 0.6961, 0.0848)  1 C 1.93
P (0.3199, 0.3199, 0.2952)  3 Tc 2.36-2.41
P (0.6801, 0.6801, 0.7048)  3 Tc 2.36-2.41
C (0.5000, 0.5000, 0.0000)  2 Tc 1.93

Values from the calculation:
- calculated volume (Å³/cell) = 120
- space group = C2/m, No. 12
- DOS at the Fermi energy (states/eV/atom) = 2.52
- ρ (g/cm3) = 10.5
- formation energy (eV per atom) = -0.67



3.
Entry from the Alexandria database: a geometry-optimized CrIn2Pb structure (PBE).

Unit cell a=7.0846 b=7.0846 c=4.8568 alpha=109.91 beta=109.91 gamma=26.33
Last column: nearest neighbours and their distance in Å.
Sites, in units of the cell vectors:
Cr (0.0000, 0.0000, 0.0000)  4 Pb 2.92, 4 In 2.99, 2 Cr 3.23
In (0.3055, 0.3055, 0.8058)  2 Cr 2.99, 6 In 3.23-3.25
In (0.6945, 0.6945, 0.1942)  2 Cr 2.99, 6 In 3.23-3.25
Pb (0.5000, 0.5000, 0.5000)  4 Cr 2.92, 2 Pb 3.23

Values from the calculation:
- calculated volume (Å³/cell) = 101
- space group = C2/m, No. 12
- DOS at the Fermi energy (states/eV/atom) = 0.58
- ρ (g/cm3) = 8.0
- formation energy (eV per atom) = 0.33



4.
Entry from the Alexandria database: a geometry-optimized Al3FeH structure (PBE).

Unit cell a=4.4880 b=4.4880 c=4.4880 alpha=90.00 beta=90.00 gamma=90.00
Last column: nearest neighbours and their distance in Å.
Sites, in units of the cell vectors:
Al (0.0000, 0.0000, 0.5000)  2 Fe 2.24
Al (0.0000, 0.5000, 0.0000)  2 Fe 2.24
Al (0.5000, 0.0000, 0.0000)  2 Fe 2.24
Fe (0.0000, 0.0000, 0.0000)  6 Al 2.24
H (0.5000, 0.5000, 0.5000)  12 Al 3.17

Values from the calculation:
- distance to the lowest polymorph of the same formula (eV/f.u.) = 2.01
- calculated volume (Å³/cell) = 90
- space group = Pm-3m, No. 221
- DOS at the Fermi energy (states/eV/atom) = 0.60
- ρ (g/cm3) = 2.5



5.
Entry from the Alexandria database: a geometry-optimized BeCu2Pd2 structure (PBE).

Unit cell a=5.7953 b=5.7953 c=3.9280 alpha=90.00 beta=90.00 gamma=90.00
Last column: nearest neighbours and their distance in Å.
Sites, in units of the cell vectors:
Be (0.0000, 0.0000, 0.0000)  4 Cu 2.23
Be (0.5000, 0.5000, 0.0000)  4 Cu 2.23
Cu (0.1416, 0.3584, 0.0000)  2 Be 2.23, 1 Cu 2.32, 2 Pd 2.50
Cu (0.3584, 0.8584, 0.0000)  2 Be 2.23, 1 Cu 2.32, 2 Pd 2.50
Cu (0.6416, 0.1416, 0.0000)  2 Be 2.23, 1 Cu 2.32, 2 Pd 2.50
Cu (0.8584, 0.6416, 0.0000)  2 Be 2.23, 1 Cu 2.32, 2 Pd 2.50
Pd (0.1704, 0.6704, 0.5000)  6 Cu 2.50-2.68, 1 Pd 2.79
Pd (0.3296, 0.1704, 0.5000)  6 Cu 2.50-2.68, 1 Pd 2.79
Pd (0.6704, 0.8296, 0.5000)  6 Cu 2.50-2.68, 1 Pd 2.79
Pd (0.8296, 0.3296, 0.5000)  6 Cu 2.50-2.68, 1 Pd 2.79

Values from the calculation:
- distance to the lowest polymorph of the same formula (eV/f.u.) = 1.62
- calculated volume (Å³/cell) = 132
- space group = P4/mbm, No. 127
- DOS at the Fermi energy (states/eV/atom) = 0.47
- ρ (g/cm3) = 8.8
- formation energy (eV per atom) = 0.00



6.
Entry from the Alexandria database: a geometry-optimized Be2Sn2I structure (PBE).

Unit cell a=8.6226 b=8.6226 c=3.0277 alpha=90.00 beta=90.00 gamma=90.00
Last column: nearest neighbours and their distance in Å.
Sites, in units of the cell vectors:
Be (0.1449, 0.3551, 0.0000)  6 Sn 2.94-2.95, 2 Be 3.03
Be (0.3551, 0.8551, 0.0000)  6 Sn 2.94-2.95, 2 Be 3.03
Be (0.6449, 0.1449, 0.0000)  6 Sn 2.94-2.95, 2 Be 3.03
Be (0.8551, 0.6449, 0.0000)  6 Sn 2.94-2.95, 2 Be 3.03
Sn (0.1483, 0.6483, 0.5000)  6 Be 2.94-2.95, 2 Sn 3.03, 2 I 3.29
Sn (0.3517, 0.1483, 0.5000)  6 Be 2.94-2.95, 2 Sn 3.03, 2 I 3.29
Sn (0.6483, 0.8517, 0.5000)  6 Be 2.94-2.95, 2 Sn 3.03, 2 I 3.29
Sn (0.8517, 0.3517, 0.5000)  6 Be 2.94-2.95, 2 Sn 3.03, 2 I 3.29
I (0.0000, 0.0000, 0.5000)  2 I 3.03, 4 Sn 3.29
I (0.5000, 0.5000, 0.5000)  2 I 3.03, 4 Sn 3.29

Values from the calculation:
- distance to the lowest polymorph of the same formula (eV/f.u.) = 0.72
- calculated volume (Å³/cell) = 225
- space group = P4/mbm, No. 127
- DOS at the Fermi energy (states/eV/atom) = 0.46
- energy relative to the elements, uncorrected (eV/atom) = 0.690
- ρ (g/cm3) = 5.6



7.
Entry from the Alexandria database: a geometry-optimized CrGaAgHg2 structure (PBE).

Unit cell a=5.3479 b=5.3479 c=4.9067 alpha=90.00 beta=90.00 gamma=90.00
Last column: nearest neighbours and their distance in Å.
Sites, in units of the cell vectors:
Cr (0.0000, 0.0000, 0.0000)  8 Hg 3.63, 4 Ga 3.78
Ga (0.5000, 0.5000, 0.0000)  2 Ag 2.45
Ag (0.5000, 0.5000, 0.5000)  2 Ga 2.45, 4 Hg 2.67
Hg (0.0000, 0.5000, 0.5000)  2 Ag 2.67
Hg (0.5000, 0.0000, 0.5000)  2 Ag 2.67

Values from the calculation:
- calculated volume (Å³/cell) = 140
- space group = P4/mmm, No. 123
- DOS at the Fermi energy (states/eV/atom) = 0.43
- ρ (g/cm3) = 7.5
- formation energy (eV per atom) = 0.72



8.
Entry from the Alexandria database: a geometry-optimized HPd2Br structure (PBE).

Unit cell a=6.0064 b=6.0064 c=6.0064 alpha=129.49 beta=129.49 gamma=74.23
Last column: nearest neighbours and their distance in Å.
Sites, in units of the cell vectors:
H (0.0000, 0.0000, 0.0000)  4 Pd 1.87
H (0.7500, 0.2500, 0.5000)  4 Pd 1.87
Pd (0.0004, 0.6250, 0.8754)  2 H 1.87
Pd (0.3750, 0.2504, 0.3754)  2 H 1.87
Pd (0.7496, 0.1250, 0.1246)  2 H 1.87
Pd (0.8750, 0.9996, 0.6246)  2 H 1.87
Br (0.2500, 0.7500, 0.5000)  4 Pd 2.60
Br (0.5000, 0.5000, 0.0000)  4 Pd 2.60

Values from the calculation:
- distance to the lowest polymorph of the same formula (eV/f.u.) = 0.00
- calculated volume (Å³/cell) = 126
- space group = I-42d, No. 122
- DOS at the Fermi energy (states/eV/atom) = 0.15
- ρ (g/cm3) = 7.8